PBE-GGA HfAgPb2, relaxed; calculated density = 11.32 g cm⁻³; E_form = 1.399 eV per formula unit; energy above the lowest structure with this stoichiometry = 238 meV per atom; volume = 102.77 Å³ per cell; space-group type = No. 166
1.0
1.6532 0.9545 10.8542
-1.6532 0.9545 10.8542
0.0000 -1.9090 10.8542
Hf Ag Pb
1 1 2
Direct
0.0000 0.0000 0.0000
0.5000 0.5000 0.5000
0.0920 0.0920 0.0920
0.9080 0.9080 0.9080